(1)
A plane-wave DFT calculation with PBE was carried out for CeLuAlAu after structural relaxation.

Geometry as POSCAR:
```
CeLuAlAu
1.0
0.000 3.639 3.639
3.639 0.000 3.639
3.639 3.639 0.000
Ce Lu Al Au
1 1 1 1
direct
0.000 0.000 0.000
0.500 0.500 0.500
0.750 0.750 0.750
0.250 0.250 0.250
```

Properties
E_form ... -0.46 eV per atom
Symmetry ... F-43m

(2)
A plane-wave DFT calculation with PBE was carried out for HgPt2Cl after structural relaxation.

Geometry as POSCAR:
```
HgPt2Cl
1.0
4.115 0.000 0.000
0.000 4.115 0.000
0.000 0.000 4.274
Hg Pt Cl
1 2 1
direct
0.000 0.000 0.000
0.000 0.500 0.500
0.500 0.000 0.500
0.500 0.500 0.000
```

Properties
Symmetry ... P4/mmm
Formation energy (no corrections) ... 0.526 eV per atom
Distance to the lowest polymorph of the same formula ... 0.417 eV/atom

(3)
A plane-wave DFT calculation with PBE was carried out for Y10Cd3Ni after structural relaxation.

Geometry as POSCAR:
```
Y10Cd3Ni
1.0
9.690 0.000 0.000
-4.845 8.392 0.000
0.000 0.000 9.757
Y Cd Ni
20 6 2
direct
0.000 0.000 0.000
0.000 0.000 0.500
0.088 0.544 0.250
0.211 0.421 0.563
0.211 0.421 0.937
0.211 0.789 0.563
0.211 0.789 0.937
0.421 0.211 0.063
0.421 0.211 0.437
0.456 0.544 0.250
0.456 0.912 0.250
0.544 0.088 0.750
0.544 0.456 0.750
0.579 0.789 0.563
0.579 0.789 0.937
0.789 0.211 0.063
0.789 0.211 0.437
0.789 0.579 0.063
0.789 0.579 0.437
0.912 0.456 0.750
0.116 0.231 0.250
0.116 0.884 0.250
0.231 0.116 0.750
0.769 0.884 0.250
0.884 0.116 0.750
0.884 0.769 0.750
0.333 0.667 0.750
0.667 0.333 0.250
```

Properties
E_form ... -0.25 eV per atom
Symmetry ... P6_3/mmc

(4)
A plane-wave DFT calculation with PBE was carried out for TaCrOs2 after structural relaxation.

Geometry as POSCAR:
```
TaCrOs2
1.0
4.653 -1.418 0.000
4.653 1.418 0.000
-0.929 0.000 4.539
Ta Cr Os
1 1 2
direct
0.000 0.000 0.000
0.762 0.762 0.258
0.242 0.242 0.717
0.501 0.501 0.501
```

Properties
E_form ... 0.05 eV per atom
Symmetry ... Cm

(5)
A plane-wave DFT calculation with PBE was carried out for BaHgP after structural relaxation.

Geometry as POSCAR:
```
BaHgP
1.0
4.564 0.000 0.000
-2.282 3.953 0.000
0.000 0.000 4.933
Ba Hg P
1 1 1
direct
0.000 0.000 0.000
0.667 0.333 0.452
0.333 0.667 0.592
```

Properties
E_form ... -0.53 eV per atom
Symmetry ... P3m1
Distance to the lowest polymorph of the same formula ... 0.000 eV/atom